# 1
The following is a DFT calculation (PBE) of a geometry-optimized K4SiAu structure.

Cell: 9.415 9.415 9.415 Å, 90.00 90.00 90.00°
Space group F-43m (No. 216)
One atom of each set of equivalent atoms:
K 0.125 0.125 0.125 (multiplicity 16)
Si 0.250 0.250 0.750 (multiplicity 4)
Au 0.000 0.000 0.500 (multiplicity 4)

## Properties
- Theoretical density: 3.036 Mg/m³
- DOS(E_F): 4.8 states/eV/f.u.
- VASP energy: -1.63 eV per atom
- ΔE_f (raw): 322 kJ/mol of formula units


# 2
The following is a DFT calculation (PBE) of a geometry-optimized Na2HfMgBe structure.

Cell: 5.069 5.069 4.964 Å, 90.00 90.00 90.00°
Space group P4/mmm (No. 123)
One atom of each set of equivalent atoms:
Na 0.000 0.500 0.000 (multiplicity 2)
Hf 0.000 0.000 0.500 (multiplicity 1)
Mg 0.500 0.500 0.500 (multiplicity 1)
Be 0.000 0.000 0.000 (multiplicity 1)

## Properties
- Theoretical density: 3.356 Mg/m³
- DOS(E_F): 5.6 states/eV/f.u.
- Formation enthalpy at 0 K: 4.080 eV/f.u.
- VASP energy: -2.77 eV per atom


# 3
The following is a DFT calculation (PBE) of a geometry-optimized MnHgSb2Te structure.

Cell: 4.871 4.871 5.480 Å, 90.00 90.00 90.00°
Space group P4/mmm (No. 123)
One atom of each set of equivalent atoms:
Mn 0.000 0.000 0.000 (multiplicity 1)
Hg 0.500 0.500 0.500 (multiplicity 1)
Sb 0.000 0.500 0.000 (multiplicity 2)
Te 0.000 0.000 0.500 (multiplicity 1)

## Properties
- Theoretical density: 8.001 Mg/m³
- DOS(E_F): 3.5 states/eV/f.u.
- Energy above the lowest structure with this stoichiometry: 0 kJ/mol of formula units
- VASP energy: -3.83 eV per atom
- ΔE_f (raw): 165 kJ/mol of formula units


# 4
The following is a DFT calculation (PBE) of a geometry-optimized La3Pm2Ho8 structure.

Cell: 20.442 7.729 5.652 Å, 90.00 90.03 90.00°
Space group C2/m (No. 12)
One atom of each set of equivalent atoms:
La 0.000 0.000 0.000 (multiplicity 2)
La 0.000 0.300 0.500 (multiplicity 4)
Pm 0.241 0.000 0.999 (multiplicity 4)
Ho 0.109 0.291 0.000 (multiplicity 8)
Ho 0.135 0.000 0.500 (multiplicity 4)
Ho 0.169 0.500 0.500 (multiplicity 4)

## Properties
- Theoretical density: 7.536 Mg/m³
- DOS(E_F): 24.1 states/eV/f.u.
- Formation enthalpy at 0 K: 3.325 eV/f.u.
- Energy above the lowest structure with this stoichiometry: 287 kJ/mol of formula units
- VASP energy: -4.43 eV per atom


# 5
The following is a DFT calculation (PBE) of a geometry-optimized GaBiAsO6 structure.

Cell: 5.0990 5.0990 9.5346 Å, 90.00 90.00 120.00°
Space group P-31c (No. 163)
One atom of each set of equivalent atoms:
Ga 0.3333 0.6667 0.2500 (multiplicity 2)
Bi 0.0000 0.0000 0.0000 (multiplicity 2)
As 0.3333 0.6667 0.7500 (multiplicity 2)
O 0.0175 0.3780 0.6404 (multiplicity 12)

## Properties
- Theoretical density: 6.956 Mg/m³
- DOS(E_F): 3.1 states/eV/f.u.
- VASP energy: -5.89 eV per atom
- ΔE_f (raw): -1131 kJ/mol of formula units


# 6
The following is a DFT calculation (PBE) of a geometry-optimized MnFe2Co structure.

Cell: 2.459 4.019 4.687 Å, 90.00 99.76 90.00°
Space group Pm (No. 6)
One atom of each set of equivalent atoms:
Mn 0.000 0.000 0.000 (multiplicity 1)
Fe 0.258 0.500 0.751 (multiplicity 1)
Fe 0.502 0.000 0.501 (multiplicity 1)
Co 0.749 0.500 0.250 (multiplicity 1)

## Properties
- Theoretical density: 8.205 Mg/m³
- DOS(E_F): 5.3 states/eV/f.u.
- Formation enthalpy at 0 K: 0.320 eV/f.u.
- VASP energy: -8.22 eV per atom


# 7
The following is a DFT calculation (PBE) of a geometry-optimized ZrBeSi structure.

Cell: 2.9307 2.9307 6.4662 Å, 90.00 90.00 120.00°
Space group P3m1 (No. 156)
One atom of each set of equivalent atoms:
Zr 0.0000 0.0000 0.0000 (multiplicity 1)
Be 0.3333 0.6667 0.3607 (multiplicity 1)
Si 0.6667 0.3333 0.6291 (multiplicity 1)

## Properties
- Theoretical density: 4.430 Mg/m³
- DOS(E_F): 1.2 states/eV/f.u.
- Energy above the lowest structure with this stoichiometry: 285 kJ/mol of formula units
- VASP energy: -5.66 eV per atom
- ΔE_f (raw): 68 kJ/mol of formula units


# 8
The following is a DFT calculation (PBE) of a geometry-optimized Ni2Os structure.

Cell: 4.283 4.283 2.548 Å, 90.00 90.00 90.00°
Space group P4/mmm (No. 123)
One atom of each set of equivalent atoms:
Ni 0.000 0.500 0.000 (multiplicity 2)
Os 0.000 0.000 0.500 (multiplicity 1)

## Properties
- Theoretical density: 10.929 Mg/m³
- DOS(E_F): 4.9 states/eV/f.u.
- Formation enthalpy at 0 K: 2.095 eV/f.u.
- Energy above the lowest structure with this stoichiometry: 184 kJ/mol of formula units
- VASP energy: -6.90 eV per atom


# 9
The following is a DFT calculation (PBE) of a geometry-optimized Tm6FeBi2 structure.

Cell: 8.2170 8.2170 4.1206 Å, 90.00 90.00 120.00°
Space group P-62m (No. 189)
One atom of each set of equivalent atoms:
Tm 0.0000 0.2295 0.0000 (multiplicity 3)
Tm 0.0000 0.6142 0.5000 (multiplicity 3)
Fe 0.0000 0.0000 0.5000 (multiplicity 1)
Bi 0.3333 0.6667 0.0000 (multiplicity 2)

## Properties
- Theoretical density: 10.251 Mg/m³
- DOS(E_F): 9.5 states/eV/f.u.
- Formation enthalpy at 0 K: -3.777 eV/f.u.
- VASP energy: -5.20 eV per atom


# 10
The following is a DFT calculation (PBE) of a geometry-optimized SrLa2CoSb structure.

Cell: 5.157 5.157 5.768 Å, 90.00 90.00 90.00°
Space group P4/mmm (No. 123)
One atom of each set of equivalent atoms:
Sr 0.000 0.000 0.000 (multiplicity 1)
La 0.000 0.500 0.500 (multiplicity 2)
Co 0.000 0.000 0.500 (multiplicity 1)
Sb 0.500 0.500 0.000 (multiplicity 1)

## Properties
- Theoretical density: 5.913 Mg/m³
- DOS(E_F): 3.3 states/eV/f.u.
- VASP energy: -5.00 eV per atom
- ΔE_f (raw): -217 kJ/mol of formula units


# 11
The following is a DFT calculation (PBE) of a geometry-optimized CaPm2Pt structure.

Cell: 4.1988 4.1988 27.8740 Å, 90.00 90.00 120.00°
Space group R3m (No. 160, hexagonal axes)
One atom of each set of equivalent atoms:
Ca 0.0000 0.0000 0.0000 (multiplicity 3)
Pm 0.0000 0.0000 0.2232 (multiplicity 3)
Pm 0.0000 0.0000 0.4470 (multiplicity 3)
Pt 0.0000 0.0000 0.8353 (multiplicity 3)

## Properties
- Theoretical density: 6.147 Mg/m³
- DOS(E_F): 4.0 states/eV/f.u.
- Formation enthalpy at 0 K: -2.071 eV/f.u.
- Energy above the lowest structure with this stoichiometry: 26 kJ/mol of formula units
- VASP energy: -4.90 eV per atom


# 12
The following is a DFT calculation (PBE) of a geometry-optimized AcPr4Nd3 structure.

Cell: 10.571 7.472 7.463 Å, 90.00 90.00 90.00°
Space group Pmna (No. 53)
One atom of each set of equivalent atoms:
Ac 0.000 0.000 0.000 (multiplicity 2)
Pr 0.000 0.000 0.500 (multiplicity 2)
Pr 0.000 0.500 0.000 (multiplicity 2)
Pr 0.250 0.255 0.250 (multiplicity 4)
Nd 0.000 0.500 0.500 (multiplicity 2)
Nd 0.250 0.255 0.750 (multiplicity 4)

## Properties
- Theoretical density: 6.892 Mg/m³
- DOS(E_F): 12.8 states/eV/f.u.
- Formation enthalpy at 0 K: 0.137 eV/f.u.
- Energy above the lowest structure with this stoichiometry: 0 kJ/mol of formula units
- VASP energy: -4.67 eV per atom